! LiMg2MoO4 (PBE+U, relaxed); values from VASP
&SYSTEM
  ibrav = 0, nat = 8, ntyp = 4
/
ATOMIC_SPECIES
Li 6.94 Li.upf
O 16.00 O.upf
Mg 24.30 Mg.upf
Mo 95.94 Mo.upf
CELL_PARAMETERS angstrom
-2.572 -1.711 0.360
1.527 -3.114 -3.894
1.929 -1.952 4.506
ATOMIC_POSITIONS crystal
Li 0.000 0.000 0.000
O 0.000 0.251 0.747
O 0.500 0.260 0.269
O 0.000 0.749 0.253
O 0.500 0.740 0.731
Mg 0.500 0.000 0.500
Mg 0.000 0.500 0.500
Mo 0.500 0.500 0.000
! - Crystal system: monoclinic
! - Magnetization: 3.00 μB per cell
! - D(E_F): 0.0000 states/eV/atom
! - Energy: -49.68 eV for the cell shown